BeWO3 | PBE+U | relaxed Values from VASP.

Summary:
* VASP energy: -6.399 eV/atom
* N(E_F): 0.016 states/eV/f.u.
* magnetization: 2.0 μB per formula unit
* symmetry: No. 221

Quantum ESPRESSO input file:
```
&SYSTEM
  ibrav = 0, nat = 5, ntyp = 3
/
ATOMIC_SPECIES
Be 9.01 Be.upf
O 16.00 O.upf
W 183.84 W.upf
CELL_PARAMETERS angstrom
3.4450 0.0000 0.0000
0.0000 3.4450 0.0000
0.0000 0.0000 3.4450
ATOMIC_POSITIONS angstrom
Be 0.0000 0.0000 0.0000
O 0.0000 1.7225 0.0000
O 0.0000 0.0000 1.7225
O 1.7225 0.0000 0.0000
W 1.7225 1.7225 1.7225
```